1.
{
  "formula": "TeOsW",
  "functional": "PBE",
  "state": "optimized geometry",
  "cell": [[3.069, 0.000, 0.000], [0.000, 3.069, 0.000], [0.000, 0.000, 11.409]],
  "species": ["Te", "Te", "Os", "Os", "W", "W"],
  "frac_coords": [[0.000, 0.000, 0.000], [0.500, 0.500, 0.500], [0.000, 0.000, 0.687], [0.500, 0.500, 0.187], [0.000, 0.000, 0.321], [0.500, 0.500, 0.821]],
  "raw_formation_energy_ev_per_atom": 0.531,
  "rho_g_cm3": 15.50,
  "de_polymorph_mev_per_atom": 0,
  "volume_a3_per_atom": 17.9,
  "dos_ef_per_ev_cell": 1.63,
  "magmom_total_mub_per_atom": 0.000
}

2.
{
  "formula": "TeOsW2",
  "functional": "PBE",
  "state": "optimized geometry",
  "cell": [[3.087, 0.000, 0.000], [0.000, 4.636, 0.000], [0.000, 0.000, 9.427]],
  "species": ["Te", "Te", "Os", "Os", "W", "W", "W", "W"],
  "frac_coords": [[0.000, 0.000, 0.000], [0.500, 0.500, 0.500], [0.000, 0.500, 0.265], [0.500, 0.000, 0.765], [0.000, 0.000, 0.520], [0.000, 0.500, 0.736], [0.500, 0.000, 0.236], [0.500, 0.500, 0.020]],
  "raw_formation_energy_ev_per_atom": 0.683,
  "rho_g_cm3": 16.88,
  "volume_a3_per_atom": 16.9,
  "dos_ef_per_ev_cell": 5.21,
  "magmom_total_mub_per_atom": 0.000
}

3.
{
  "formula": "Te2OsW",
  "functional": "PBE",
  "state": "optimized geometry",
  "cell": [[3.336, 0.000, 0.000], [0.000, 3.336, 0.000], [0.000, 0.000, 6.616]],
  "species": ["Te", "Te", "Os", "W"],
  "frac_coords": [[0.000, 0.000, 0.247], [0.000, 0.000, 0.753], [0.500, 0.500, 0.500], [0.500, 0.500, 0.000]],
  "raw_formation_energy_ev_per_atom": 0.836,
  "rho_g_cm3": 14.19,
  "de_polymorph_mev_per_atom": 466,
  "volume_a3_per_atom": 18.4,
  "dos_ef_per_ev_cell": 3.32,
  "magmom_total_mub_per_atom": 0.000
}